(1)
## MnReSN2 (PBE)

Data for a geometry-optimized MnReSN2 structure.

Calculated values
Excess energy over the best structure of this formula in the dataset, meV/atom: 784.6
Crystal system: tetragonal
Total energy, eV per atom: -7.31
Spin magnetization, μB per formula unit: 2.90
E_form (uncorrected), eV/atom: 1.17

a = 3.599 Å, b = 3.599 Å, c = 4.799 Å
α = 90.00°, β = 90.00°, γ = 90.00°
Space group P4/mmm (No. 123)
Unique sites:
Mn (0.000, 0.000, 0.000) [1 per cell]
Re (0.500, 0.500, 0.500) [1 per cell]
S (0.000, 0.000, 0.500) [1 per cell]
N (0.000, 0.500, 0.000) [2 per cell]

(2)
## ScMn2ReN (PBE)

Data for a geometry-optimized ScMn2ReN structure.

Calculated values
Crystal system: tetragonal
Total energy, eV per atom: -7.32
Spin magnetization, μB per formula unit: 4.66
E_form (uncorrected), eV/atom: 1.76

a = 4.468 Å, b = 4.468 Å, c = 5.242 Å
α = 90.00°, β = 90.00°, γ = 90.00°
Space group P4/mmm (No. 123)
Unique sites:
Sc (0.000, 0.000, 0.000) [1 per cell]
Mn (0.000, 0.500, 0.500) [2 per cell]
Re (0.000, 0.000, 0.500) [1 per cell]
N (0.500, 0.500, 0.000) [1 per cell]

(3)
## ScMnReN2 (PBE)

Data for a geometry-optimized ScMnReN2 structure.

Calculated values
Crystal system: tetragonal
Total energy, eV per atom: -8.02
Spin magnetization, μB per formula unit: 0.00
E_form (uncorrected), eV/atom: 0.90

a = 3.755 Å, b = 3.755 Å, c = 4.705 Å
α = 90.00°, β = 90.00°, γ = 90.00°
Space group P4/mmm (No. 123)
Unique sites:
Sc (0.000, 0.000, 0.000) [1 per cell]
Mn (0.500, 0.500, 0.500) [1 per cell]
Re (0.500, 0.500, 0.000) [1 per cell]
N (0.000, 0.500, 0.500) [2 per cell]

(4)
## MnReSe2N (PBE)

Data for a geometry-optimized MnReSe2N structure.

Calculated values
Excess energy over the best structure of this formula in the dataset, meV/atom: 448.6
Crystal system: tetragonal
Total energy, eV per atom: -6.55
Spin magnetization, μB per formula unit: 3.19
E_form (uncorrected), eV/atom: 0.83

a = 4.861 Å, b = 4.861 Å, c = 3.383 Å
α = 90.00°, β = 90.00°, γ = 90.00°
Space group P4/mmm (No. 123)
Unique sites:
Mn (0.000, 0.000, 0.000) [1 per cell]
Re (0.500, 0.500, 0.500) [1 per cell]
Se (0.000, 0.500, 0.000) [2 per cell]
N (0.000, 0.000, 0.500) [1 per cell]

(5)
## MnReSe2N (PBE)

Data for a geometry-optimized MnReSe2N structure.

Calculated values
Excess energy over the best structure of this formula in the dataset, meV/atom: 0.0
Crystal system: tetragonal
Total energy, eV per atom: -7.00
Spin magnetization, μB per formula unit: 4.46
E_form (uncorrected), eV/atom: 0.39

a = 5.082 Å, b = 5.082 Å, c = 3.731 Å
α = 90.00°, β = 90.00°, γ = 90.00°
Space group P4/mmm (No. 123)
Unique sites:
Mn (0.000, 0.000, 0.000) [1 per cell]
Re (0.500, 0.500, 0.500) [1 per cell]
Se (0.000, 0.500, 0.500) [2 per cell]
N (0.500, 0.500, 0.000) [1 per cell]

(6)
## Sm2MnReN5 (PBE)

Data for a geometry-optimized Sm2MnReN5 structure.

Calculated values
Crystal system: orthorhombic
Total energy, eV per atom: -8.78
Spin magnetization, μB per formula unit: 2.52
E_form (uncorrected), eV/atom: -0.71

a = 3.279 Å, b = 14.327 Å, c = 9.520 Å
α = 90.00°, β = 90.00°, γ = 90.00°
Space group Cmc2_1 (No. 36)
Unique sites:
Sm (0.000, 0.119, 0.000) [4 per cell]
Sm (0.000, 0.135, 0.374) [4 per cell]
Mn (0.000, 0.218, 0.689) [4 per cell]
Re (0.000, 0.427, 0.172) [4 per cell]
N (0.000, 0.024, 0.752) [4 per cell]
N (0.000, 0.303, 0.062) [4 per cell]
N (0.000, 0.311, 0.324) [4 per cell]
N (0.000, 0.348, 0.688) [4 per cell]
N (0.000, 0.481, 0.995) [4 per cell]

(7)
## TaMn2ReN (PBE)

Data for a geometry-optimized TaMn2ReN structure.

Calculated values
Crystal system: tetragonal
Total energy, eV per atom: -10.38
Spin magnetization, μB per formula unit: 0.01
E_form (uncorrected), eV/atom: -0.19

a = 3.828 Å, b = 3.828 Å, c = 4.153 Å
α = 90.00°, β = 90.00°, γ = 90.00°
Space group P4/mmm (No. 123)
Unique sites:
Ta (0.000, 0.000, 0.000) [1 per cell]
Mn (0.000, 0.500, 0.500) [2 per cell]
Re (0.500, 0.500, 0.000) [1 per cell]
N (0.000, 0.000, 0.500) [1 per cell]

(8)
## Tb2MnReN5 (PBE)

Data for a geometry-optimized Tb2MnReN5 structure.

Calculated values
Crystal system: orthorhombic
Total energy, eV per atom: -8.81
Spin magnetization, μB per formula unit: 2.54
E_form (uncorrected), eV/atom: -0.75

a = 3.238 Å, b = 14.189 Å, c = 9.370 Å
α = 90.00°, β = 90.00°, γ = 90.00°
Space group Cmc2_1 (No. 36)
Unique sites:
Tb (0.000, 0.119, 0.000) [4 per cell]
Tb (0.000, 0.134, 0.373) [4 per cell]
Mn (0.000, 0.219, 0.690) [4 per cell]
Re (0.000, 0.428, 0.173) [4 per cell]
N (0.000, 0.024, 0.757) [4 per cell]
N (0.000, 0.302, 0.060) [4 per cell]
N (0.000, 0.310, 0.328) [4 per cell]
N (0.000, 0.350, 0.689) [4 per cell]
N (0.000, 0.482, 0.993) [4 per cell]

The highest E_form (uncorrected) belongs to which entry?
ScMn2ReN

Among the records above, which one has the lowest spin magnetization?
ScMnReN2

Please write out number 4 again, unchanged.
## MnReSe2N (PBE)

Data for a geometry-optimized MnReSe2N structure.

Calculated values
Excess energy over the best structure of this formula in the dataset, meV/atom: 448.6
Crystal system: tetragonal
Total energy, eV per atom: -6.55
Spin magnetization, μB per formula unit: 3.19
E_form (uncorrected), eV/atom: 0.83

a = 4.861 Å, b = 4.861 Å, c = 3.383 Å
α = 90.00°, β = 90.00°, γ = 90.00°
Space group P4/mmm (No. 123)
Unique sites:
Mn (0.000, 0.000, 0.000) [1 per cell]
Re (0.500, 0.500, 0.500) [1 per cell]
Se (0.000, 0.500, 0.000) [2 per cell]
N (0.000, 0.000, 0.500) [1 per cell]